VASP calculation (PBE-GGA) on an optimized crystal structure of LiZnNi.

Cell lengths 5.6847, 5.6847, 5.6847 Å; angles 90.00, 90.00, 90.00 degrees
Space group F-43m (No. 216)
Asymmetric unit:
1 Li 0.0000 0.0000 0.0000 (multiplicity 4)
2 Zn 0.0000 0.0000 0.5000 (multiplicity 4)
3 Ni 0.2500 0.2500 0.2500 (multiplicity 4)

Output
The calculation puts the formation energy at 0.136 eV/atom. The value obtained for the density of states at the Fermi level is 1.6 states/eV/f.u. The theoretical density comes out at 4.7 Mg/m³.

---

VASP calculation (PBE-GGA) on an optimized crystal structure of LiZn2Ni.

Cell lengths 3.6489, 3.6489, 17.4423 Å; angles 90.00, 90.00, 90.00 degrees
Space group I-42d (No. 122)
Asymmetric unit:
1 Li 0.0000 0.0000 0.0000 (multiplicity 4)
2 Zn 0.2359 0.2500 0.6250 (multiplicity 8)
3 Ni 0.0000 0.0000 0.5000 (multiplicity 4)

Output
The calculation puts the formation energy at 0.124 eV/atom. The value obtained for the density of states at the Fermi level is 1.8 states/eV/f.u. The theoretical density comes out at 5.6 Mg/m³.

---

VASP calculation (PBE-GGA) on an optimized crystal structure of LiZnNi.

Cell lengths 2.8129, 2.8129, 9.6702 Å; angles 90.00, 90.00, 90.00 degrees
Space group I4mm (No. 107)
Asymmetric unit:
1 Li 0.0000 0.0000 0.0000 (multiplicity 2)
2 Zn 0.0000 0.0000 0.3141 (multiplicity 2)
3 Ni 0.0000 0.0000 0.6635 (multiplicity 2)

Output
The calculation puts the formation energy at -0.117 eV/atom. The value obtained for the density of states at the Fermi level is 0.6 states/eV/f.u. The theoretical density comes out at 5.7 Mg/m³.

---

VASP calculation (PBE-GGA) on an optimized crystal structure of LiZnNi2.

Cell lengths 8.4289, 2.6058, 4.3704 Å; angles 90.00, 101.93, 90.00 degrees
Space group C2/m (No. 12)
Asymmetric unit:
1 Li 0.0000 0.0000 0.0000 (multiplicity 2)
2 Zn 0.0000 0.5000 0.5000 (multiplicity 2)
3 Ni 0.2453 0.0000 0.7472 (multiplicity 4)

Output
The calculation puts the formation energy at -0.118 eV/atom. The value obtained for the density of states at the Fermi level is 2.9 states/eV/f.u. The theoretical density comes out at 6.7 Mg/m³.

---

VASP calculation (PBE-GGA) on an optimized crystal structure of LiZnNi.

Cell lengths 7.0797, 7.0797, 2.5705 Å; angles 90.00, 90.00, 120.00 degrees
Space group P-62m (No. 189)
Asymmetric unit:
1 Li 0.0000 0.6924 0.0000 (multiplicity 3)
2 Zn 0.0000 0.0000 0.5000 (multiplicity 1)
3 Zn 0.3333 0.6667 0.0000 (multiplicity 2)
4 Ni 0.0000 0.3586 0.5000 (multiplicity 3)

Output
The calculation puts the formation energy at -0.135 eV/atom. The value obtained for the density of states at the Fermi level is 1.2 states/eV/f.u. The theoretical density comes out at 5.9 Mg/m³.

---

VASP calculation (PBE-GGA) on an optimized crystal structure of LiZn7Ni4.

Cell lengths 11.4228, 4.3220, 8.7151 Å; angles 90.00, 127.66, 90.00 degrees
Space group C2/m (No. 12)
Asymmetric unit:
1 Li 0.0000 0.0000 0.0000 (multiplicity 2)
2 Zn 0.0000 0.5000 0.0000 (multiplicity 2)
3 Zn 0.0661 0.0000 0.3469 (multiplicity 4)
4 Zn 0.1648 0.5000 0.6059 (multiplicity 4)
5 Zn 0.2182 0.0000 0.8590 (multiplicity 4)
6 Ni 0.0709 0.5000 0.7892 (multiplicity 4)
7 Ni 0.1899 0.5000 0.3450 (multiplicity 4)

Output
The calculation puts the formation energy at -0.066 eV/atom. The value obtained for the density of states at the Fermi level is 5.0 states/eV/f.u. The theoretical density comes out at 6.8 Mg/m³.

---

VASP calculation (PBE-GGA) on an optimized crystal structure of LiZnNi.

Cell lengths 4.0864, 4.0864, 2.5375 Å; angles 90.00, 90.00, 120.00 degrees
Space group P3m1 (No. 156)
Asymmetric unit:
1 Li 0.0000 0.0000 0.0000 (multiplicity 1)
2 Zn 0.3333 0.6667 0.6606 (multiplicity 1)
3 Ni 0.6667 0.3333 0.2668 (multiplicity 1)

Output
The calculation puts the formation energy at -0.151 eV/atom. The value obtained for the density of states at the Fermi level is 1.4 states/eV/f.u. The theoretical density comes out at 5.9 Mg/m³.

---

VASP calculation (PBE-GGA) on an optimized crystal structure of Li3Zn3Ni.

Cell lengths 5.2205, 5.2205, 27.8145 Å; angles 90.00, 90.00, 120.00 degrees
Space group R-3m (No. 166, hexagonal axes)
Asymmetric unit:
1 Li 0.0054 0.5027 0.3790 (multiplicity 18)
2 Zn 0.9997 0.4999 0.2084 (multiplicity 18)
3 Ni 0.0000 0.0000 0.2070 (multiplicity 6)

Output
The calculation puts the formation energy at -0.027 eV/atom. The value obtained for the density of states at the Fermi level is 4.3 states/eV/f.u. The theoretical density comes out at 4.2 Mg/m³.

---

VASP calculation (PBE-GGA) on an optimized crystal structure of LiZn2Ni.

Cell lengths 2.6731, 3.4984, 5.5947 Å; angles 90.00, 90.62, 90.00 degrees
Space group P2/m (No. 10)
Asymmetric unit:
1 Li 0.0000 0.0000 0.0000 (multiplicity 1)
2 Zn 0.4996 0.5000 0.2661 (multiplicity 2)
3 Ni 0.0000 0.0000 0.5000 (multiplicity 1)

Output
The calculation puts the formation energy at -0.207 eV/atom. The value obtained for the density of states at the Fermi level is 1.4 states/eV/f.u. The theoretical density comes out at 6.2 Mg/m³.

---

VASP calculation (PBE-GGA) on an optimized crystal structure of Li2Zn8Ni.

Cell lengths 12.7869, 4.2296, 6.4157 Å; angles 90.00, 117.15, 90.00 degrees
Space group C2/m (No. 12)
Asymmetric unit:
1 Li 0.2211 0.0000 0.1505 (multiplicity 4)
2 Zn 0.0271 0.0000 0.2213 (multiplicity 4)
3 Zn 0.0994 0.5000 0.9394 (multiplicity 4)
4 Zn 0.1432 0.0000 0.6681 (multiplicity 4)
5 Zn 0.1672 0.5000 0.3919 (multiplicity 4)
6 Ni 0.0000 0.5000 0.5000 (multiplicity 2)

Output
The calculation puts the formation energy at -0.134 eV/atom. The value obtained for the density of states at the Fermi level is 3.1 states/eV/f.u. The theoretical density comes out at 6.4 Mg/m³.

---

VASP calculation (PBE-GGA) on an optimized crystal structure of LiZn2Ni.

Cell lengths 3.6706, 3.6706, 7.5915 Å; angles 90.00, 90.00, 90.00 degrees
Space group I-4m2 (No. 119)
Asymmetric unit:
1 Li 0.0000 0.0000 0.0000 (multiplicity 2)
2 Zn 0.0000 0.0000 0.5000 (multiplicity 2)
3 Zn 0.0000 0.5000 0.2500 (multiplicity 2)
4 Ni 0.0000 0.5000 0.7500 (multiplicity 2)

Output
The calculation puts the formation energy at -0.174 eV/atom. The value obtained for the density of states at the Fermi level is 2.1 states/eV/f.u. The theoretical density comes out at 6.4 Mg/m³.

---

VASP calculation (PBE-GGA) on an optimized crystal structure of LiZn2Ni5.

Cell lengths 2.5163, 7.9159, 9.5692 Å; angles 90.00, 90.00, 90.00 degrees
Space group Immm (No. 71)
Asymmetric unit:
1 Li 0.0000 0.0000 0.0000 (multiplicity 2)
2 Zn 0.0000 0.5000 0.2569 (multiplicity 4)
3 Ni 0.0000 0.2277 0.3710 (multiplicity 8)
4 Ni 0.0000 0.5000 0.0000 (multiplicity 2)

Output
The calculation puts the formation energy at -0.065 eV/atom. The value obtained for the density of states at the Fermi level is 8.9 states/eV/f.u. The theoretical density comes out at 7.5 Mg/m³.

---

VASP calculation (PBE-GGA) on an optimized crystal structure of LiZn2Ni.

Cell lengths 8.5420, 2.6218, 4.7608 Å; angles 90.00, 98.65, 90.00 degrees
Space group C2/m (No. 12)
Asymmetric unit:
1 Li 0.0000 0.0000 0.0000 (multiplicity 2)
2 Zn 0.2388 0.0000 0.7376 (multiplicity 4)
3 Ni 0.0000 0.5000 0.5000 (multiplicity 2)

Output
The calculation puts the formation energy at -0.147 eV/atom. The value obtained for the density of states at the Fermi level is 1.2 states/eV/f.u. The theoretical density comes out at 6.2 Mg/m³.

---

VASP calculation (PBE-GGA) on an optimized crystal structure of LiZrZnNi.

Cell lengths 6.1625, 6.1625, 6.1625 Å; angles 90.00, 90.00, 90.00 degrees
Space group F-43m (No. 216)
Asymmetric unit:
1 Li 0.0000 0.0000 0.0000 (multiplicity 4)
2 Zr 0.2500 0.2500 0.7500 (multiplicity 4)
3 Zn 0.2500 0.2500 0.2500 (multiplicity 4)
4 Ni 0.0000 0.0000 0.5000 (multiplicity 4)

Output
The calculation puts the formation energy at -0.227 eV/atom. The value obtained for the density of states at the Fermi level is 6.4 states/eV/f.u. The theoretical density comes out at 6.3 Mg/m³.

---

VASP calculation (PBE-GGA) on an optimized crystal structure of Li2ZrNi.

Cell lengths 3.6607, 3.6607, 9.7592 Å; angles 90.00, 90.00, 90.00 degrees
Space group I4/mmm (No. 139)
Asymmetric unit:
1 Li 0.0000 0.5000 0.2500 (multiplicity 4)
2 Zr 0.0000 0.0000 0.0000 (multiplicity 2)
3 Ni 0.0000 0.0000 0.5000 (multiplicity 2)

Output
The calculation puts the formation energy at 0.057 eV/atom. The value obtained for the density of states at the Fermi level is 1.8 states/eV/f.u. The theoretical density comes out at 4.2 Mg/m³.

---

VASP calculation (PBE-GGA) on an optimized crystal structure of Li2ZrNi.

Cell lengths 2.9470, 4.6701, 9.5779 Å; angles 90.00, 90.00, 90.00 degrees
Space group Cmmm (No. 65)
Asymmetric unit:
1 Li 0.0000 0.0000 0.2081 (multiplicity 4)
2 Zr 0.0000 0.5000 0.5000 (multiplicity 2)
3 Ni 0.0000 0.5000 0.0000 (multiplicity 2)

Output
The calculation puts the formation energy at 0.208 eV/atom. The value obtained for the density of states at the Fermi level is 1.6 states/eV/f.u. The theoretical density comes out at 4.1 Mg/m³.

---

VASP calculation (PBE-GGA) on an optimized crystal structure of LiZrNi.

Cell lengths 8.7435, 4.5632, 4.8873 Å; angles 90.00, 102.24, 90.00 degrees
Space group C2/m (No. 12)
Asymmetric unit:
1 Li 0.0348 0.0000 0.2648 (multiplicity 4)
2 Zr 0.2034 0.5000 0.2158 (multiplicity 4)
3 Ni 0.1166 0.5000 0.6866 (multiplicity 4)

Output
The calculation puts the formation energy at -0.165 eV/atom. The value obtained for the density of states at the Fermi level is 1.8 states/eV/f.u. The theoretical density comes out at 5.5 Mg/m³.

---

VASP calculation (PBE-GGA) on an optimized crystal structure of LiZrNi10.

Cell lengths 3.9697, 4.7372, 8.1483 Å; angles 90.00, 90.00, 90.00 degrees
Space group Pmmm (No. 47)
Asymmetric unit:
1 Li 0.0000 0.0000 0.0000 (multiplicity 1)
2 Zr 0.0000 0.5000 0.5000 (multiplicity 1)
3 Ni 0.0000 0.0000 0.3299 (multiplicity 2)
4 Ni 0.0000 0.5000 0.1648 (multiplicity 2)
5 Ni 0.5000 0.0000 0.5000 (multiplicity 1)
6 Ni 0.5000 0.2531 0.2528 (multiplicity 4)
7 Ni 0.5000 0.5000 0.0000 (multiplicity 1)

Output
The calculation puts the formation energy at -0.086 eV/atom. The value obtained for the density of states at the Fermi level is 14.3 states/eV/f.u. The theoretical density comes out at 7.4 Mg/m³.

---

VASP calculation (PBE-GGA) on an optimized crystal structure of Li2ZrNi.

Cell lengths 5.2374, 10.2898, 2.8992 Å; angles 90.00, 121.37, 90.00 degrees
Space group C2/m (No. 12)
Asymmetric unit:
1 Li 0.2500 0.2500 0.0000 (multiplicity 4)
2 Zr 0.0000 0.0000 0.5000 (multiplicity 2)
3 Ni 0.0000 0.5000 0.5000 (multiplicity 2)

Output
The calculation puts the formation energy at 0.117 eV/atom. The value obtained for the density of states at the Fermi level is 3.1 states/eV/f.u. The theoretical density comes out at 4.1 Mg/m³.

---

VASP calculation (PBE-GGA) on an optimized crystal structure of Li2ZrNi.

Cell lengths 6.1477, 6.1477, 6.1477 Å; angles 90.00, 90.00, 90.00 degrees
Space group Fm-3m (No. 225)
Asymmetric unit:
1 Li 0.2500 0.2500 0.2500 (multiplicity 8)
2 Zr 0.0000 0.0000 0.0000 (multiplicity 4)
3 Ni 0.0000 0.0000 0.5000 (multiplicity 4)

Output
The calculation puts the formation energy at 0.286 eV/atom. The value obtained for the density of states at the Fermi level is 5.7 states/eV/f.u. The theoretical density comes out at 4.7 Mg/m³.